DFT (PBE) results for crystalline NdSn2Pb at its relaxed geometry.

Values from the calculation:
- DFT formation energy (eV per atom) = -0.45
- E_tot (eV/atom) = -4.568
- space-group type = P4/mmm (123)

POSCAR file:
```
NdSn2Pb
1.0
4.878 0.000 0.000
0.000 4.878 0.000
0.000 0.000 4.744
Nd Sn Pb
1 2 1
direct
0.000 0.000 0.000
0.000 0.500 0.500
0.500 0.000 0.500
0.500 0.500 0.000
```